[1]
A geometry-optimized ZrBe3I structure. Source: Alexandria, functional GGA-PBE.

a b c (Å): 4.603 4.603 4.603
angles (deg): 90.00 90.00 90.00
Element x y z (fractional)
Zr 0.000 0.000 0.000
Be 0.000 0.500 0.500
Be 0.500 0.000 0.500
Be 0.500 0.500 0.000
I 0.500 0.500 0.500

Summary:
The density of states at the Fermi level is 4.4 states/eV/f.u. Its polymorph energy (0 for the lowest one) is 0.000 eV/atom. The value obtained for the magnetic moment is 0.00 μB/f.u. The calculation puts the formation energy from raw total energies at 1601 meV/atom.

[2]
A geometry-optimized Zr2BeI structure. Source: Alexandria, functional GGA-PBE.

a b c (Å): 5.939 5.939 12.344
angles (deg): 90.00 90.00 90.00
Element x y z (fractional)
Zr 0.169 0.250 0.125
Zr 0.250 0.669 0.375
Zr 0.250 0.831 0.875
Zr 0.331 0.250 0.625
Zr 0.669 0.750 0.625
Zr 0.750 0.169 0.875
Zr 0.750 0.331 0.375
Zr 0.831 0.750 0.125
Be 0.000 0.000 0.000
Be 0.000 0.500 0.250
Be 0.500 0.000 0.750
Be 0.500 0.500 0.500
I 0.000 0.000 0.500
I 0.000 0.500 0.750
I 0.500 0.000 0.250
I 0.500 0.500 0.000

Summary:
The density of states at the Fermi level is 2.0 states/eV/f.u. Its polymorph energy (0 for the lowest one) is 0.301 eV/atom. The value obtained for the magnetic moment is 0.00 μB/f.u. The calculation puts the formation energy from raw total energies at 608 meV/atom.

[3]
A geometry-optimized BeIn2 structure. Source: Alexandria, functional GGA-PBE.

a b c (Å): 13.409 3.242 6.188
angles (deg): 90.00 111.69 90.00
Element x y z (fractional)
Be 0.023 0.000 0.347
Be 0.477 0.500 0.653
Be 0.523 0.500 0.347
Be 0.977 0.000 0.653
In 0.130 0.500 0.169
In 0.151 0.500 0.706
In 0.349 0.000 0.294
In 0.370 0.000 0.831
In 0.630 0.000 0.169
In 0.651 0.000 0.706
In 0.849 0.500 0.294
In 0.870 0.500 0.831

Summary:
The density of states at the Fermi level is 1.0 states/eV/f.u. Its polymorph energy (0 for the lowest one) is 0.123 eV/atom. The value obtained for the magnetic moment is 0.00 μB/f.u. The formation energy is 8.23 kcal/mol of atoms.